This record from Alexandria describes BaSrDyVO6 after structural relaxation. The functional is GGA+U.

POSCAR file:
```
BaSrDyVO6
1.0
-1.268 -4.620 -3.372
-4.734 -3.254 1.149
-4.621 0.179 -3.597
Ba Sr Dy V O
1 1 1 1 6
Direct
0.250 0.250 0.250
0.750 0.750 0.750
0.000 0.000 0.000
0.500 0.500 0.500
0.269 0.731 0.269
0.731 0.269 0.731
0.269 0.731 0.731
0.731 0.269 0.269
0.269 0.269 0.731
0.731 0.731 0.269
```

Properties
As for the density of states at the Fermi level: 0.000 states/eV/atom. As for the symmetry: No. 216. The value obtained for the total moment is 0.00 μB/cell. The value obtained for the raw total energy is -7.287 eV/atom.